1.
DFT (PBE) results for an optimized crystal structure of Hf4IrOs.

Unit cell a=4.524 b=4.525 c=6.391 alpha=89.99 beta=89.99 gamma=90.00
Element x y z (fractional)
Hf  0.501  0.997  0.246
Hf  0.501  0.997  0.750
Hf  0.001  0.497  0.750
Hf  0.001  0.497  0.246
Ir  0.001  0.997  0.498
Os  0.501  0.497  0.998

Summary:
Space-group type: P4/mmm
Magnetization (μB per formula unit): 0.00
Total DFT energy (no corrections) (eV/atom): -10.46
Crystal system: tetragonal
ΔE_f (eV per atom): -0.471



2.
DFT (PBE) results for an optimized crystal structure of Hf2IrOs.

Unit cell a=3.259 b=3.259 c=6.565 alpha=90.00 beta=90.00 gamma=90.00
Element x y z (fractional)
Hf  0.000  0.000  0.750
Hf  0.000  0.000  0.250
Ir  0.500  0.500  0.000
Os  0.500  0.500  0.500

Summary:
Space-group type: P4/mmm
Magnetization (μB per formula unit): 0.00
Total DFT energy (no corrections) (eV/atom): -10.79
Crystal system: tetragonal
ΔE_f (eV per atom): -0.794



3.
DFT (PBE) results for an optimized crystal structure of Hf3IrOs.

Unit cell a=4.911 b=4.911 c=4.911 alpha=90.00 beta=90.00 gamma=90.00
Element x y z (fractional)
Hf  0.000  0.500  0.000
Hf  0.000  0.000  0.500
Hf  0.500  0.000  0.000
Ir  0.500  0.500  0.500
Os  0.000  0.000  0.000

Summary:
Space-group type: Pm-3m
Magnetization (μB per formula unit): 0.00
Excess energy over the best structure of this formula in the dataset (kJ/mol of formula units): 0
Total DFT energy (no corrections) (eV/atom): -9.37
Crystal system: cubic
ΔE_f (eV per atom): 0.619